Computed, not measured: crystalline UPtO at its relaxed geometry at the PBE-GGA level of DFT.

Cell lengths 3.1671, 3.1671, 10.0947 Å; angles 99.03, 99.03, 90.00 degrees
Fractional coordinates of all 6 atoms:
O 0.2889 0.2889 0.5777
U 0.1649 0.1649 0.3297
U 0.8351 0.8351 0.6703
O 0.7111 0.7111 0.4223
Pt 0.4320 0.4320 0.8641
Pt 0.5680 0.5680 0.1359

uncorrected formation energy = -1.5677 eV per atom
density of states at the Fermi level = 4.0 states/eV/f.u.

---

Computed, not measured: crystalline UZnPtO6 at its relaxed geometry at the PBE-GGA level of DFT.

Cell lengths 5.2676, 5.2676, 9.3604 Å; angles 90.00, 90.00, 120.00 degrees
Fractional coordinates of all 18 atoms:
O 0.0084 0.3424 0.1293
O 0.6659 0.6576 0.6293
Zn 0.0000 0.0000 0.0000
O 0.3424 0.0084 0.6293
Zn 0.0000 0.0000 0.5000
O 0.9916 0.3341 0.6293
Pt 0.6667 0.3333 0.7500
O 0.3341 0.9916 0.1293
O 0.6659 0.0084 0.8707
O 0.3424 0.3341 0.8707
O 0.6576 0.9916 0.3707
Pt 0.3333 0.6667 0.2500
O 0.0084 0.6659 0.3707
U 0.3333 0.6667 0.7500
U 0.6667 0.3333 0.2500
O 0.9916 0.6576 0.8707
O 0.6576 0.6659 0.1293
O 0.3341 0.3424 0.3707

uncorrected formation energy = -1.7718 eV per atom

---

Computed, not measured: crystalline UZn2PtO8 at its relaxed geometry at the PBE-GGA level of DFT.

Cell lengths 4.7984, 4.7974, 6.3822 Å; angles 90.00, 90.00, 93.07 degrees
Fractional coordinates of all 12 atoms:
U 0.0000 0.0000 0.5000
O 0.8079 0.1917 0.2387
O 0.1921 0.8083 0.7613
Zn 0.5000 0.5000 0.2424
O 0.7065 0.7061 0.0000
O 0.2935 0.2939 0.0000
O 0.1921 0.8083 0.2387
Pt 0.0000 0.0000 0.0000
O 0.8079 0.1917 0.7613
Zn 0.5000 0.5000 0.7576
O 0.3031 0.3036 0.5000
O 0.6969 0.6964 0.5000

uncorrected formation energy = -1.5145 eV per atom
density of states at the Fermi level = 4.8 states/eV/f.u.